Here is an optimized crystal structure of SmTeCl from the Alexandria database. Energies are from PBE-GGA.

The value obtained for the energy relative to the elements, uncorrected is -1.46 eV/atom.

a b c (Å): 3.746 3.746 7.349
angles (deg): 104.76 104.76 90.00
Atoms (fractional coordinates):
Cl 0.291 0.291 0.581
Te 0.041 0.041 0.083
Sm 0.668 0.668 0.336